Record 1
A relaxed Tb5PuRu6 crystal. Source: the Alexandria database, functional PBE-GGA.

Unit cell a=4.810 b=6.828 c=7.613 alpha=90.02 beta=71.58 gamma=90.05
Last column: magnetic moment on the atom in μB.
Fractional positions:
Pu (0.000, 0.000, 0.000)  4.34
Ru (0.159, 0.241, 0.681)  -0.21
Ru (0.159, 0.759, 0.681)  -0.21
Ru (0.841, 0.759, 0.319)  -0.21
Ru (0.499, 0.235, 0.000)  -0.32
Ru (0.501, 0.765, 0.000)  -0.32
Ru (0.841, 0.241, 0.319)  -0.21
Tb (0.667, 0.500, 0.666)  0.05
Tb (0.669, 0.000, 0.662)  0.03
Tb (0.331, 0.000, 0.338)  0.03
Tb (0.000, 0.500, 0.000)  0.00
Tb (0.333, 0.500, 0.334)  0.05

Computed properties:
Total magnetization, Bohr magnetons per cell: 3.1
Space-group type: C2/m
Crystal system: monoclinic
Final energy, eV/atom: -8.05
DOS(E_F), states/eV/f.u.: 11.47

Record 2
A relaxed TbPu5Ru6 crystal. Source: the Alexandria database, functional PBE-GGA.

Unit cell a=4.784 b=6.773 c=7.541 alpha=89.99 beta=71.50 gamma=89.96
Last column: magnetic moment on the atom in μB.
Fractional positions:
Pu (0.664, 0.500, 0.671)  4.58
Pu (0.665, 0.000, 0.670)  -4.75
Pu (0.000, 0.500, 0.000)  -4.74
Pu (0.336, 0.500, 0.329)  4.58
Pu (0.335, 0.000, 0.330)  -4.75
Tb (0.000, 0.000, 0.000)  -0.06
Ru (0.172, 0.747, 0.656)  0.09
Ru (0.501, 0.742, 0.000)  0.21
Ru (0.173, 0.253, 0.656)  0.09
Ru (0.828, 0.253, 0.344)  0.09
Ru (0.827, 0.747, 0.344)  0.09
Ru (0.499, 0.258, 0.000)  0.21

Computed properties:
Total magnetization, Bohr magnetons per cell: 4.6
Space-group type: Cmmm
Crystal system: orthorhombic
Final energy, eV/atom: -11.10
DOS(E_F), states/eV/f.u.: 35.85

Record 3
A relaxed TbPu2Ru3 crystal. Source: the Alexandria database, functional PBE-GGA.

Unit cell a=3.377 b=3.377 c=10.286 alpha=90.00 beta=90.00 gamma=90.00
Last column: magnetic moment on the atom in μB.
Fractional positions:
Ru (0.000, 0.000, 0.000)  -0.71
Ru (0.000, 0.000, 0.320)  -0.46
Ru (0.000, 0.000, 0.680)  -0.46
Pu (0.500, 0.500, 0.165)  4.82
Pu (0.500, 0.500, 0.835)  4.82
Tb (0.500, 0.500, 0.500)  0.11

Computed properties:
Total magnetization, Bohr magnetons per cell: 8.5
Space-group type: P4/mmm
Crystal system: tetragonal
DOS(E_F), states/eV/f.u.: 13.35
Polymorph energy (0 for the lowest one), meV per atom: 0

Record 4
A relaxed Tb2PuRu2 crystal. Source: the Alexandria database, functional PBE-GGA.

Unit cell a=4.121 b=5.984 c=10.088 alpha=90.00 beta=90.00 gamma=110.14
Last column: magnetic moment on the atom in μB.
Fractional positions:
Ru (0.013, 0.025, 0.897)  -0.34
Ru (0.823, 0.646, 0.628)  -0.46
Ru (0.987, 0.975, 0.397)  -0.34
Ru (0.177, 0.354, 0.128)  -0.46
Tb (0.900, 0.800, 0.143)  0.10
Tb (0.344, 0.688, 0.840)  0.03
Tb (0.656, 0.312, 0.340)  0.03
Tb (0.100, 0.200, 0.643)  0.10
Pu (0.366, 0.732, 0.478)  4.70
Pu (0.634, 0.268, 0.978)  4.70

Computed properties:
Total magnetization, Bohr magnetons per cell: 8.4
Space-group type: Cmc2_1
Crystal system: orthorhombic
DOS(E_F), states/eV/f.u.: 6.30
Polymorph energy (0 for the lowest one), meV per atom: 89